The following is a GGA-PBEsol calculation of VZnBiO5 after structural relaxation, from Alexandria. Values from VASP.

## Properties
**ρ**: 6.11 g/cm3
**Magnetization**: 0.0 μB per cell
**E above lowest polymorph**: 0.033 eV per atom

Structure (Quantum ESPRESSO input):
```
&SYSTEM
  ibrav = 0, nat = 64, ntyp = 4
/
ATOMIC_SPECIES
V 50.94 V.upf
Zn 65.41 Zn.upf
Bi 208.98 Bi.upf
O 16.00 O.upf
ATOMIC_POSITIONS crystal
V 0.072 0.090 0.120
V 0.072 0.410 0.620
V 0.428 0.590 0.120
V 0.428 0.910 0.620
V 0.572 0.090 0.380
V 0.572 0.410 0.880
V 0.928 0.590 0.380
V 0.928 0.910 0.880
Zn 0.070 0.537 0.861
Zn 0.070 0.963 0.361
Zn 0.430 0.037 0.861
Zn 0.430 0.463 0.361
Zn 0.570 0.537 0.639
Zn 0.570 0.963 0.139
Zn 0.930 0.037 0.639
Zn 0.930 0.463 0.139
Bi 0.048 0.231 0.852
Bi 0.048 0.269 0.352
Bi 0.452 0.731 0.852
Bi 0.452 0.769 0.352
Bi 0.548 0.231 0.648
Bi 0.548 0.269 0.148
Bi 0.952 0.731 0.648
Bi 0.952 0.769 0.148
O 0.091 0.509 0.298
O 0.091 0.991 0.798
O 0.114 0.662 0.804
O 0.114 0.838 0.304
O 0.117 0.638 0.484
O 0.117 0.862 0.984
O 0.183 0.545 0.041
O 0.183 0.955 0.541
O 0.201 0.175 0.209
O 0.201 0.325 0.709
O 0.299 0.675 0.209
O 0.299 0.825 0.709
O 0.317 0.045 0.041
O 0.317 0.455 0.541
O 0.383 0.138 0.484
O 0.383 0.362 0.984
O 0.386 0.162 0.804
O 0.386 0.338 0.304
O 0.409 0.009 0.298
O 0.409 0.491 0.798
O 0.591 0.509 0.202
O 0.591 0.991 0.702
O 0.614 0.662 0.696
O 0.614 0.838 0.196
O 0.617 0.638 0.016
O 0.617 0.862 0.516
O 0.683 0.545 0.459
O 0.683 0.955 0.959
O 0.701 0.175 0.291
O 0.701 0.325 0.791
O 0.799 0.675 0.291
O 0.799 0.825 0.791
O 0.817 0.045 0.459
O 0.817 0.455 0.959
O 0.883 0.138 0.016
O 0.883 0.362 0.516
O 0.886 0.162 0.696
O 0.886 0.338 0.196
O 0.909 0.009 0.202
O 0.909 0.491 0.702
CELL_PARAMETERS angstrom
5.467 0.000 0.000
0.000 15.053 0.000
0.000 0.000 10.704
```